{"formula": "Tl2TeIr", "functional": "PBE", "state": "optimized geometry", "raw_formation_energy_mev_per_atom": 205, "relative_energy_mev_per_atom": 106, "m_tot_mub_per_atom": 0.00, "cell": [[-1.706, 2.182, 7.287], [1.706, -2.182, 7.287], [1.706, 2.182, -7.287]], "species": ["Tl", "Tl", "Te", "Ir"], "frac_coords": [[0.175, 0.175, 0.000], [0.825, 0.825, 0.000], [0.500, 0.000, 0.500], [0.000, 0.500, 0.500]]}

=====

{"formula": "Tl2TeIr", "functional": "PBE", "state": "optimized geometry", "raw_formation_energy_mev_per_atom": 188, "relative_energy_mev_per_atom": 88, "m_tot_mub_per_atom": 0.00, "cell": [[3.342, 0.000, 0.000], [0.000, 3.786, 0.000], [-1.620, 0.000, 8.307]], "species": ["Tl", "Tl", "Te", "Ir"], "frac_coords": [[0.000, 0.000, 0.000], [0.359, 0.500, 0.719], [0.685, 0.000, 0.383], [0.585, 0.500, 0.174]]}